1.
Material: Mg3Tl3Pb
Method: DFT, PBE-GGA
State: optimized geometry

Structure (POSCAR):
```
Mg3Tl3Pb
1.0
7.264 -0.091 0.000
-0.075 7.264 0.000
0.001 0.001 7.136
Pb Mg Tl
2 6 6
Direct
0.252 0.252 0.000
0.748 0.748 0.000
0.000 0.000 0.253
0.500 0.000 0.743
0.500 0.000 0.257
0.000 0.000 0.747
0.000 0.500 0.257
0.000 0.500 0.743
0.758 0.242 0.500
0.242 0.758 0.500
0.723 0.277 0.000
0.702 0.702 0.500
0.277 0.723 0.000
0.298 0.298 0.500
```



2.
Material: PmTmSnPt
Method: DFT, PBE-GGA
State: optimized geometry

Structure (POSCAR):
```
PmTmSnPt
1.0
-0.400 4.187 3.030
-1.899 -0.448 4.803
3.138 0.550 4.090
Sn Pm Pt Tm
1 1 1 1
Direct
0.250 0.250 0.250
0.000 0.000 0.000
0.750 0.750 0.750
0.500 0.500 0.500
```



Number 1: magnetic moment 0.00 μB/cell, calculated formation energy -0.015 eV per atom, DFT total energy -31.39 eV/cell. Number 2: magnetic moment 0.00 μB/cell, calculated formation energy -0.818 eV per atom, DFT total energy -22.54 eV/cell.